This record from Alexandria describes KPH12PtC2N2Cl2O4 after structural relaxation. The functional is PBE.

a b c (Å): 8.2308 8.8087 8.8765
angles (deg): 84.70 70.23 85.68
Fractional coordinates of all 50 atoms:
1 K 0.4313 0.2169 0.5734
2 K 0.5687 0.7831 0.4266
3 P 0.1800 0.7878 0.2627
4 P 0.8200 0.2122 0.7373
5 H 0.2079 0.5502 0.4092
6 H 0.7921 0.4498 0.5908
7 H 0.3836 0.5680 0.2250
8 H 0.6164 0.4320 0.7750
9 H 0.3944 0.8151 0.9968
10 H 0.6056 0.1849 0.0032
11 H 0.2276 0.9622 0.0292
12 H 0.7724 0.0378 0.9708
13 H 0.0248 0.5028 0.2525
14 H 0.9752 0.4972 0.7475
15 H 0.1874 0.3740 0.2331
16 H 0.8126 0.6260 0.7669
17 H 0.1404 0.0277 0.6804
18 H 0.8596 0.9723 0.3196
19 H 0.0333 0.7676 0.0144
20 H 0.9667 0.2324 0.9856
21 H 0.1950 0.7999 0.8448
22 H 0.8050 0.2001 0.1552
23 H 0.1395 0.2020 0.4720
24 H 0.8605 0.7980 0.5280
25 H 0.2494 0.0986 0.3351
26 H 0.7506 0.9014 0.6649
27 H 0.2241 0.9036 0.5594
28 H 0.7759 0.0964 0.4406
29 Pt 0.2191 0.5185 0.9570
30 Pt 0.7809 0.4815 0.0430
31 C 0.2427 0.5848 0.2800
32 C 0.7573 0.4152 0.7200
33 C 0.2541 0.8383 0.0465
34 C 0.7459 0.1617 0.9535
35 N 0.1574 0.4876 0.2037
36 N 0.8426 0.5124 0.7963
37 N 0.1657 0.7526 0.9623
38 N 0.8343 0.2474 0.0377
39 Cl 0.2761 0.2551 0.9493
40 Cl 0.7239 0.7449 0.0507
41 Cl 0.2872 0.5484 0.6783
42 Cl 0.7128 0.4516 0.3217
43 O 0.2767 0.8767 0.3421
44 O 0.7233 0.1233 0.6579
45 O 0.9825 0.8031 0.3228
46 O 0.0175 0.1969 0.6772
47 O 0.2346 0.2046 0.3668
48 O 0.7654 0.7954 0.6332
49 O 0.2309 0.9431 0.6579
50 O 0.7691 0.0569 0.3421

Values from the calculation:
Total magnetic moment (μB/f.u.): 0.00
Final energy (eV/atom): -5.2368
V (A^3/atom): 12.048